1.
# LiBe2Cu (GGA-PBEsol, relaxed)
data_LiBe2Cu
_space_group_name_H-M_alt 'I 41/a m d'
_space_group_IT_number 141
_cell_length_a 4.0287
_cell_length_b 4.0287
_cell_length_c 15.0768
_cell_angle_alpha 90.00
_cell_angle_beta 90.00
_cell_angle_gamma 90.00
loop_
_space_group_symop_operation_xyz
'x,y,z'
'-x,-y,-z'
'-y+1/4,x+3/4,z+1/4'
'y+1/4,-x+3/4,-z+1/4'
'-x+1/2,-y,z+1/2'
'x+1/2,y,-z+1/2'
'y+1/4,-x+1/4,z+3/4'
'-y+1/4,x+1/4,-z+3/4'
'x,-y,-z'
'-x,y,z'
'-y+1/4,-x+1/4,-z+3/4'
'y+1/4,x+1/4,z+3/4'
'-x+1/2,y,-z+1/2'
'x+1/2,-y,z+1/2'
'y+1/4,x+3/4,-z+1/4'
'-y+1/4,-x+3/4,z+1/4'
'x+1/2,y+1/2,z+1/2'
'-x+1/2,-y+1/2,-z+1/2'
'-y+3/4,x+1/4,z+3/4'
'y+3/4,-x+1/4,-z+3/4'
'-x,-y+1/2,z'
'x,y+1/2,-z'
'y+3/4,-x+3/4,z+1/4'
'-y+3/4,x+3/4,-z+1/4'
'x+1/2,-y+1/2,-z+1/2'
'-x+1/2,y+1/2,z+1/2'
'-y+3/4,-x+3/4,-z+1/4'
'y+3/4,x+3/4,z+1/4'
'-x,y+1/2,-z'
'x,-y+1/2,z'
'y+3/4,x+1/4,-z+3/4'
'-y+3/4,-x+1/4,z+3/4'
loop_
_atom_site_label
_atom_site_type_symbol
_atom_site_fract_x
_atom_site_fract_y
_atom_site_fract_z
Li1 Li 0.0000 0.2500 0.3750
Be1 Be 0.0000 0.0000 0.0000
Cu1 Cu 0.0000 0.2500 0.8750
# Density (g/cm³): 2.4
# M_tot (μB per formula unit): 0.00
# N(E_F) (states/eV/cell): 7.792


2.
# LiBe2Cu (GGA-PBEsol, relaxed)
data_LiBe2Cu
_space_group_name_H-M_alt 'C 1 m 1'
_space_group_IT_number 8
_cell_length_a 8.6641
_cell_length_b 2.5985
_cell_length_c 3.8788
_cell_angle_alpha 90.00
_cell_angle_beta 116.57
_cell_angle_gamma 90.00
loop_
_space_group_symop_operation_xyz
'x,y,z'
'x,-y,z'
'x+1/2,y+1/2,z'
'x+1/2,-y+1/2,z'
loop_
_atom_site_label
_atom_site_type_symbol
_atom_site_fract_x
_atom_site_fract_y
_atom_site_fract_z
Li1 Li 0.0000 0.0000 0.0000
Be1 Be 0.0087 0.5000 0.5079
Be2 Be 0.2324 0.0000 0.7348
Cu1 Cu 0.2708 0.5000 0.2727
# Density (g/cm³): 3.8
# M_tot (μB per formula unit): 0.00
# N(E_F) (states/eV/cell): 1.944


Calculated relative energies: 1 50.2; 2 0.0, given in kJ/mol of atoms


1.
# MgBeCu2 (GGA-PBEsol, relaxed)
data_MgBeCu2
_space_group_name_H-M_alt 'P 4 m m'
_space_group_IT_number 99
_cell_length_a 2.9117
_cell_length_b 2.9117
_cell_length_c 5.8060
_cell_angle_alpha 90.00
_cell_angle_beta 90.00
_cell_angle_gamma 90.00
loop_
_space_group_symop_operation_xyz
'x,y,z'
'-y,x,z'
'-x,-y,z'
'y,-x,z'
'-x,y,z'
'y,x,z'
'x,-y,z'
'-y,-x,z'
loop_
_atom_site_label
_atom_site_type_symbol
_atom_site_fract_x
_atom_site_fract_y
_atom_site_fract_z
Mg1 Mg 0.0000 0.0000 0.0000
Be1 Be 0.5000 0.5000 0.3062
Cu1 Cu 0.0000 0.0000 0.4727
Cu2 Cu 0.5000 0.5000 0.7135
# Density (g/cm³): 5.4
# M_tot (μB per formula unit): 0.00
# N(E_F) (states/eV/cell): 1.354


2.
# MgBeCu2 (GGA-PBEsol, relaxed)
data_MgBeCu2
_space_group_name_H-M_alt 'P 4/m m m'
_space_group_IT_number 123
_space_group_name_Hall '-P 4 2'
_cell_length_a 2.7725
_cell_length_b 2.7725
_cell_length_c 6.2455
_cell_angle_alpha 90.00
_cell_angle_beta 90.00
_cell_angle_gamma 90.00
loop_
_atom_site_label
_atom_site_type_symbol
_atom_site_fract_x
_atom_site_fract_y
_atom_site_fract_z
Mg1 Mg 0.0000 0.0000 0.0000
Be1 Be 0.0000 0.0000 0.5000
Cu1 Cu 0.5000 0.5000 0.3006
# Density (g/cm³): 5.5
# M_tot (μB per formula unit): 0.00
# N(E_F) (states/eV/cell): 1.134


Calculated relative energies: 1 8.9; 2 0.0, given in kJ/mol of atoms


1.
# Be2CuPt (GGA-PBEsol, relaxed)
data_Be2CuPt
_space_group_name_H-M_alt 'C 1 m 1'
_space_group_IT_number 8
_cell_length_a 8.4130
_cell_length_b 2.6890
_cell_length_c 3.9452
_cell_angle_alpha 90.00
_cell_angle_beta 108.33
_cell_angle_gamma 90.00
loop_
_space_group_symop_operation_xyz
'x,y,z'
'x,-y,z'
'x+1/2,y+1/2,z'
'x+1/2,-y+1/2,z'
loop_
_atom_site_label
_atom_site_type_symbol
_atom_site_fract_x
_atom_site_fract_y
_atom_site_fract_z
Be1 Be 0.0000 0.0000 0.0000
Be2 Be 0.2361 0.5000 0.3401
Cu1 Cu 0.2540 0.0000 0.8528
Pt1 Pt 0.4789 0.0000 0.4851
# Density (g/cm³): 10.8
# M_tot (μB per formula unit): 0.00
# N(E_F) (states/eV/cell): 1.706


2.
# Be2CuPt (GGA-PBEsol, relaxed)
data_Be2CuPt
_space_group_name_H-M_alt 'P 4/m m m'
_space_group_IT_number 123
_space_group_name_Hall '-P 4 2'
_cell_length_a 2.7561
_cell_length_b 2.7561
_cell_length_c 5.4903
_cell_angle_alpha 90.00
_cell_angle_beta 90.00
_cell_angle_gamma 90.00
loop_
_atom_site_label
_atom_site_type_symbol
_atom_site_fract_x
_atom_site_fract_y
_atom_site_fract_z
Be1 Be 0.0000 0.0000 0.2376
Cu1 Cu 0.5000 0.5000 0.0000
Pt1 Pt 0.5000 0.5000 0.5000
# Density (g/cm³): 11.0
# M_tot (μB per formula unit): 0.00
# N(E_F) (states/eV/cell): 1.024


3.
# Be2CuPt (GGA-PBEsol, relaxed)
data_Be2CuPt
_space_group_name_H-M_alt 'A m m 2'
_space_group_IT_number 38
_cell_length_a 3.6750
_cell_length_b 2.6608
_cell_length_c 8.6363
_cell_angle_alpha 90.00
_cell_angle_beta 90.00
_cell_angle_gamma 90.00
loop_
_space_group_symop_operation_xyz
'x,y,z'
'-x,-y,z'
'-x,y,z'
'x,-y,z'
'x,y+1/2,z+1/2'
'-x,-y+1/2,z+1/2'
'-x,y+1/2,z+1/2'
'x,-y+1/2,z+1/2'
loop_
_atom_site_label
_atom_site_type_symbol
_atom_site_fract_x
_atom_site_fract_y
_atom_site_fract_z
Be1 Be 0.0000 0.0000 0.0000
Be2 Be 0.5000 0.0000 0.1477
Cu1 Cu 0.5000 0.0000 0.4200
Pt1 Pt 0.0000 0.0000 0.7310
# Density (g/cm³): 10.9
# M_tot (μB per formula unit): 0.00
# N(E_F) (states/eV/cell): 1.479


4.
# Be2CuPt (GGA-PBEsol, relaxed)
data_Be2CuPt
_space_group_name_H-M_alt 'F m -3 m'
_space_group_IT_number 225
_space_group_name_Hall '-F 4 2 3'
_cell_length_a 5.5130
_cell_length_b 5.5130
_cell_length_c 5.5130
_cell_angle_alpha 90.00
_cell_angle_beta 90.00
_cell_angle_gamma 90.00
loop_
_atom_site_label
_atom_site_type_symbol
_atom_site_fract_x
_atom_site_fract_y
_atom_site_fract_z
Be1 Be 0.2500 0.2500 0.2500
Cu1 Cu 0.0000 0.0000 0.0000
Pt1 Pt 0.0000 0.0000 0.5000
# Density (g/cm³): 11.0
# M_tot (μB per formula unit): 0.00
# N(E_F) (states/eV/cell): 4.120


Calculated relative energies: 1 6.6; 2 4.7; 3 7.8; 4 0.0, given in kJ/mol of atoms


1.
# ScBe2Cu (GGA-PBEsol, relaxed)
data_ScBe2Cu
_space_group_name_H-M_alt 'I 41/a m d'
_space_group_IT_number 141
_cell_length_a 3.9304
_cell_length_b 3.9304
_cell_length_c 15.1676
_cell_angle_alpha 90.00
_cell_angle_beta 90.00
_cell_angle_gamma 90.00
loop_
_space_group_symop_operation_xyz
'x,y,z'
'-x,-y,-z'
'-y+1/4,x+3/4,z+1/4'
'y+1/4,-x+3/4,-z+1/4'
'-x+1/2,-y,z+1/2'
'x+1/2,y,-z+1/2'
'y+1/4,-x+1/4,z+3/4'
'-y+1/4,x+1/4,-z+3/4'
'x,-y,-z'
'-x,y,z'
'-y+1/4,-x+1/4,-z+3/4'
'y+1/4,x+1/4,z+3/4'
'-x+1/2,y,-z+1/2'
'x+1/2,-y,z+1/2'
'y+1/4,x+3/4,-z+1/4'
'-y+1/4,-x+3/4,z+1/4'
'x+1/2,y+1/2,z+1/2'
'-x+1/2,-y+1/2,-z+1/2'
'-y+3/4,x+1/4,z+3/4'
'y+3/4,-x+1/4,-z+3/4'
'-x,-y+1/2,z'
'x,y+1/2,-z'
'y+3/4,-x+3/4,z+1/4'
'-y+3/4,x+3/4,-z+1/4'
'x+1/2,-y+1/2,-z+1/2'
'-x+1/2,y+1/2,z+1/2'
'-y+3/4,-x+3/4,-z+1/4'
'y+3/4,x+3/4,z+1/4'
'-x,y+1/2,-z'
'x,-y+1/2,z'
'y+3/4,x+1/4,-z+3/4'
'-y+3/4,-x+1/4,z+3/4'
loop_
_atom_site_label
_atom_site_type_symbol
_atom_site_fract_x
_atom_site_fract_y
_atom_site_fract_z
Sc1 Sc 0.0000 0.2500 0.3750
Be1 Be 0.0000 0.0000 0.0000
Cu1 Cu 0.0000 0.2500 0.8750
# Density (g/cm³): 3.6
# M_tot (μB per formula unit): 0.00
# N(E_F) (states/eV/cell): 11.858


2.
# ScBe2Cu (GGA-PBEsol, relaxed)
data_ScBe2Cu
_space_group_name_H-M_alt 'P 4/m m m'
_space_group_IT_number 123
_space_group_name_Hall '-P 4 2'
_cell_length_a 3.6534
_cell_length_b 3.6534
_cell_length_c 3.9072
_cell_angle_alpha 90.00
_cell_angle_beta 90.00
_cell_angle_gamma 90.00
loop_
_atom_site_label
_atom_site_type_symbol
_atom_site_fract_x
_atom_site_fract_y
_atom_site_fract_z
Sc1 Sc 0.0000 0.0000 0.0000
Be1 Be 0.0000 0.5000 0.5000
Cu1 Cu 0.5000 0.5000 0.0000
# Density (g/cm³): 4.0
# M_tot (μB per formula unit): 0.00
# N(E_F) (states/eV/cell): 2.417


Calculated relative energies: 1 5.4; 2 0.0, given in kJ/mol of atoms